(1)
Density functional theory data (GGA-PBE) for a relaxed K2CaCl crystal.

abc: 7.6440 7.6440 7.6706
angles: 120.00 120.00 31.38
With the nearest neighbours (Å) after each atom.
Sites, in units of the cell vectors:
1 K 0.1786 0.1786 0.1789  2 Cl 3.05
2 K 0.8214 0.8214 0.8211  2 Cl 3.05
3 Ca 0.0000 0.0000 0.5000  2 Ca 4.13, 4 Cl 4.36, 8 K 4.44-4.54
4 Cl 0.5000 0.5000 0.0000  4 K 3.05

Results
formation energy (no corrections)	-0.643	eV per atom

(2)
Density functional theory data (GGA-PBE) for a relaxed SmInSnHg crystal.

abc: 5.3331 5.3331 5.3331
angles: 60.00 60.00 60.00
With the nearest neighbours (Å) after each atom.
Sites, in units of the cell vectors:
1 Sm 0.0000 0.0000 0.0000  4 Sn 3.27, 4 Hg 3.27
2 In 0.5000 0.5000 0.5000  4 Sn 3.27, 4 Hg 3.27
3 Sn 0.7500 0.7500 0.7500  4 In 3.27, 4 Sm 3.27
4 Hg 0.2500 0.2500 0.2500  4 In 3.27, 4 Sm 3.27

Results
energy of formation	-0.27	eV per atom

(3)
Density functional theory data (GGA-PBE) for a relaxed MgBiSb crystal.

abc: 6.4904 6.4904 6.4904
angles: 146.05 146.05 48.77
With the nearest neighbours (Å) after each atom.
Sites, in units of the cell vectors:
1 Mg 0.0000 0.0000 0.0000  4 Sb 3.01, 4 Bi 3.20
2 Bi 0.3514 0.3514 0.0000  1 Sb 3.13, 4 Mg 3.20
3 Sb 0.6158 0.6158 0.0000  4 Mg 3.01, 1 Bi 3.13

Results
formation energy (no corrections)	-0.022	eV per atom

(4)
Density functional theory data (GGA-PBE) for a relaxed Y2TaSi crystal.

abc: 5.5642 5.5642 5.5642
angles: 134.10 134.10 66.93
With the nearest neighbours (Å) after each atom.
Sites, in units of the cell vectors:
1 Y 0.2500 0.7500 0.5000  4 Y 3.07, 4 Ta 3.18, 4 Si 3.18
2 Y 0.7500 0.2500 0.5000  4 Y 3.07, 4 Ta 3.18, 4 Si 3.18
3 Ta 0.0000 0.0000 0.0000  4 Si 3.07, 8 Y 3.18
4 Si 0.5000 0.5000 0.0000  4 Ta 3.07, 8 Y 3.18

Results
formation energy (no corrections)	0.122	eV per atom